Entry 1:
# YSc2GaH, optimized geometry, DFT PBE
# N(E_F)   3.68 states/eV/f.u.
# Uncorrected energy   -27.4 eV/cell
# Mass density   4.5 g cm⁻³
data_YSc2GaH
_chemical_formula_sum 'Y1 Sc2 Ga1 H1'
_cell_length_a 4.484
_cell_length_b 4.484
_cell_length_c 4.598
_cell_angle_alpha 90.00
_cell_angle_beta 90.00
_cell_angle_gamma 90.00
_symmetry_space_group_name_H-M 'P 4/m m m'
_symmetry_Int_Tables_number 123
_symmetry_space_group_name_Hall '-P 4 2'
loop_
_atom_site_label
_atom_site_type_symbol
_atom_site_fract_x
_atom_site_fract_y
_atom_site_fract_z
_atom_site_occupancy
Y1 Y 0.000 0.000 0.000 1
Sc1 Sc 0.000 0.500 0.500 1
Ga1 Ga 0.500 0.500 0.000 1
H1 H 0.000 0.000 0.500 1

***

Entry 2:
# Sc2ZnGaH, optimized geometry, DFT PBE
# N(E_F)   2.82 states/eV/f.u.
# Uncorrected energy   -22.3 eV/cell
# Mass density   4.9 g cm⁻³
data_Sc2ZnGaH
_chemical_formula_sum 'Sc2 Zn1 Ga1 H1'
_cell_length_a 4.448
_cell_length_b 4.448
_cell_length_c 3.834
_cell_angle_alpha 90.00
_cell_angle_beta 90.00
_cell_angle_gamma 90.00
_symmetry_space_group_name_H-M 'P 4/m m m'
_symmetry_Int_Tables_number 123
_symmetry_space_group_name_Hall '-P 4 2'
loop_
_atom_site_label
_atom_site_type_symbol
_atom_site_fract_x
_atom_site_fract_y
_atom_site_fract_z
_atom_site_occupancy
Sc1 Sc 0.000 0.500 0.000 1
Zn1 Zn 0.000 0.000 0.500 1
Ga1 Ga 0.500 0.500 0.500 1
H1 H 0.000 0.000 0.000 1

***

Entry 3:
# ScZnGaH2, optimized geometry, DFT PBE
# N(E_F)   1.31 states/eV/f.u.
# Uncorrected energy   -17.2 eV/cell
# Mass density   3.6 g cm⁻³
# Polymorph energy (0 for the lowest one)   0 meV per atom
data_ScZnGaH2
_chemical_formula_sum 'Sc1 Zn1 Ga1 H2'
_cell_length_a 3.763
_cell_length_b 3.763
_cell_length_c 5.870
_cell_angle_alpha 90.00
_cell_angle_beta 90.00
_cell_angle_gamma 90.00
_symmetry_space_group_name_H-M 'P 4/m m m'
_symmetry_Int_Tables_number 123
_symmetry_space_group_name_Hall '-P 4 2'
loop_
_atom_site_label
_atom_site_type_symbol
_atom_site_fract_x
_atom_site_fract_y
_atom_site_fract_z
_atom_site_occupancy
Sc1 Sc 0.000 0.000 0.000 1
Zn1 Zn 0.500 0.500 0.500 1
Ga1 Ga 0.000 0.000 0.500 1
H1 H 0.000 0.500 0.000 1

***

Entry 4:
# ScZnGaH2, optimized geometry, DFT PBE
# N(E_F)   4.21 states/eV/f.u.
# Uncorrected energy   -15.0 eV/cell
# Mass density   3.7 g cm⁻³
# Polymorph energy (0 for the lowest one)   448 meV per atom
data_ScZnGaH2
_chemical_formula_sum 'Sc1 Zn1 Ga1 H2'
_cell_length_a 3.792
_cell_length_b 3.792
_cell_length_c 5.648
_cell_angle_alpha 90.00
_cell_angle_beta 90.00
_cell_angle_gamma 90.00
_symmetry_space_group_name_H-M 'P 4/m m m'
_symmetry_Int_Tables_number 123
_symmetry_space_group_name_Hall '-P 4 2'
loop_
_atom_site_label
_atom_site_type_symbol
_atom_site_fract_x
_atom_site_fract_y
_atom_site_fract_z
_atom_site_occupancy
Sc1 Sc 0.000 0.000 0.000 1
Zn1 Zn 0.000 0.000 0.500 1
Ga1 Ga 0.500 0.500 0.000 1
H1 H 0.000 0.500 0.500 1

***

Entry 5:
# Zr2ScGaH, optimized geometry, DFT PBE
# N(E_F)   2.81 states/eV/f.u.
# Uncorrected energy   -31.9 eV/cell
# Mass density   5.9 g cm⁻³
data_Zr2ScGaH
_chemical_formula_sum 'Zr2 Sc1 Ga1 H1'
_cell_length_a 4.384
_cell_length_b 4.384
_cell_length_c 4.367
_cell_angle_alpha 90.00
_cell_angle_beta 90.00
_cell_angle_gamma 90.00
_symmetry_space_group_name_H-M 'P 4/m m m'
_symmetry_Int_Tables_number 123
_symmetry_space_group_name_Hall '-P 4 2'
loop_
_atom_site_label
_atom_site_type_symbol
_atom_site_fract_x
_atom_site_fract_y
_atom_site_fract_z
_atom_site_occupancy
Zr1 Zr 0.000 0.500 0.000 1
Sc1 Sc 0.000 0.000 0.500 1
Ga1 Ga 0.500 0.500 0.500 1
H1 H 0.000 0.000 0.000 1

***

Entry 6:
# GaHSe, optimized geometry, DFT PBE
# N(E_F)   0.00 states/eV/f.u.
# Uncorrected energy   -21.7 eV/cell
# Mass density   3.9 g cm⁻³
# Polymorph energy (0 for the lowest one)   4 meV per atom
data_GaHSe
_chemical_formula_sum 'Ga2 H2 Se2'
_cell_length_a 3.817
_cell_length_b 5.158
_cell_length_c 6.694
_cell_angle_alpha 80.54
_cell_angle_beta 83.43
_cell_angle_gamma 89.96
_symmetry_space_group_name_H-M 'P 1'
_symmetry_Int_Tables_number 1
loop_
_symmetry_equiv_pos_as_xyz
'x,y,z'
loop_
_atom_site_label
_atom_site_type_symbol
_atom_site_fract_x
_atom_site_fract_y
_atom_site_fract_z
_atom_site_occupancy
Ga1 Ga 0.000 0.000 0.000 1
Ga2 Ga 0.437 0.433 0.320 1
H1 H 0.036 0.845 0.818 1
H2 H 0.400 0.199 0.502 1
Se1 Se 0.505 0.309 0.977 1
Se2 Se 0.932 0.732 0.344 1

***

Entry 7:
# GaH2Se, optimized geometry, DFT PBE
# N(E_F)   2.11 states/eV/f.u.
# Uncorrected energy   -42.5 eV/cell
# Mass density   5.6 g cm⁻³
# Polymorph energy (0 for the lowest one)   224 meV per atom
data_GaH2Se
_chemical_formula_sum 'Ga4 H8 Se4'
_cell_length_a 5.649
_cell_length_b 5.649
_cell_length_c 5.649
_cell_angle_alpha 90.00
_cell_angle_beta 90.00
_cell_angle_gamma 90.00
_symmetry_space_group_name_H-M 'F m -3 m'
_symmetry_Int_Tables_number 225
_symmetry_space_group_name_Hall '-F 4 2 3'
loop_
_atom_site_label
_atom_site_type_symbol
_atom_site_fract_x
_atom_site_fract_y
_atom_site_fract_z
_atom_site_occupancy
Ga1 Ga 0.000 0.000 0.000 1
H1 H 0.250 0.250 0.250 1
Se1 Se 0.000 0.000 0.500 1

***

Entry 8:
# GaHSe, optimized geometry, DFT PBE
# N(E_F)   0.00 states/eV/f.u.
# Uncorrected energy   -21.5 eV/cell
# Mass density   3.7 g cm⁻³
# Polymorph energy (0 for the lowest one)   35 meV per atom
data_GaHSe
_chemical_formula_sum 'Ga2 H2 Se2'
_cell_length_a 5.649
_cell_length_b 3.805
_cell_length_c 6.897
_cell_angle_alpha 90.00
_cell_angle_beta 114.04
_cell_angle_gamma 90.00
_symmetry_space_group_name_H-M 'P 1 21/m 1'
_symmetry_Int_Tables_number 11
loop_
_symmetry_equiv_pos_as_xyz
'x,y,z'
'-x,-y,-z'
'-x,y+1/2,-z'
'x,-y+1/2,z'
loop_
_atom_site_label
_atom_site_type_symbol
_atom_site_fract_x
_atom_site_fract_y
_atom_site_fract_z
_atom_site_occupancy
Ga1 Ga 0.004 0.250 0.308 1
H1 H 0.147 0.250 0.158 1
Se1 Se 0.281 0.250 0.702 1

***

Entry 9:
# GaHSe, optimized geometry, DFT PBE
# N(E_F)   0.84 states/eV/f.u.
# Uncorrected energy   -20.2 eV/cell
# Mass density   1.5 g cm⁻³
# Polymorph energy (0 for the lowest one)   259 meV per atom
data_GaHSe
_chemical_formula_sum 'Ga2 H2 Se2'
_cell_length_a 3.426
_cell_length_b 3.426
_cell_length_c 28.001
_cell_angle_alpha 90.00
_cell_angle_beta 90.00
_cell_angle_gamma 90.00
_symmetry_space_group_name_H-M 'I 4 m m'
_symmetry_Int_Tables_number 107
_symmetry_space_group_name_Hall 'I 4 -2'
loop_
_atom_site_label
_atom_site_type_symbol
_atom_site_fract_x
_atom_site_fract_y
_atom_site_fract_z
_atom_site_occupancy
Ga1 Ga 0.000 0.000 0.000 1
H1 H 0.000 0.000 0.056 1
Se1 Se 0.000 0.000 0.463 1

***

Entry 10:
# GaHSe, optimized geometry, DFT PBE
# N(E_F)   0.00 states/eV/f.u.
# Uncorrected energy   -43.4 eV/cell
# Mass density   4.0 g cm⁻³
# Polymorph energy (0 for the lowest one)   4 meV per atom
data_GaHSe
_chemical_formula_sum 'Ga4 H4 Se4'
_cell_length_a 12.657
_cell_length_b 3.824
_cell_length_c 5.143
_cell_angle_alpha 90.00
_cell_angle_beta 91.89
_cell_angle_gamma 90.00
_symmetry_space_group_name_H-M 'C 1 m 1'
_symmetry_Int_Tables_number 8
loop_
_symmetry_equiv_pos_as_xyz
'x,y,z'
'x,-y,z'
'x+1/2,y+1/2,z'
'x+1/2,-y+1/2,z'
loop_
_atom_site_label
_atom_site_type_symbol
_atom_site_fract_x
_atom_site_fract_y
_atom_site_fract_z
_atom_site_occupancy
Ga1 Ga 0.000 0.000 0.000 1
Ga2 Ga 0.167 0.500 0.513 1
H1 H 0.261 0.500 0.715 1
H2 H 0.406 0.500 0.186 1
Se1 Se 0.178 0.000 0.210 1
Se2 Se 0.489 0.000 0.695 1

***

Entry 11:
# GaHSe, optimized geometry, DFT PBE
# N(E_F)   0.00 states/eV/f.u.
# Uncorrected energy   -21.7 eV/cell
# Mass density   4.0 g cm⁻³
# Polymorph energy (0 for the lowest one)   5 meV per atom
data_GaHSe
_chemical_formula_sum 'Ga2 H2 Se2'
_cell_length_a 5.147
_cell_length_b 3.822
_cell_length_c 6.679
_cell_angle_alpha 90.00
_cell_angle_beta 106.94
_cell_angle_gamma 90.00
_symmetry_space_group_name_H-M 'P 1 m 1'
_symmetry_Int_Tables_number 6
loop_
_symmetry_equiv_pos_as_xyz
'x,y,z'
'x,-y,z'
loop_
_atom_site_label
_atom_site_type_symbol
_atom_site_fract_x
_atom_site_fract_y
_atom_site_fract_z
_atom_site_occupancy
Ga1 Ga 0.000 0.000 0.000 1
Ga2 Ga 0.377 0.500 0.671 1
H1 H 0.265 0.000 0.186 1
H2 H 0.501 0.500 0.485 1
Se1 Se 0.063 0.000 0.648 1
Se2 Se 0.705 0.500 0.025 1

***

Entry 12:
# GaHSe, optimized geometry, DFT PBE
# N(E_F)   0.00 states/eV/f.u.
# Uncorrected energy   -21.5 eV/cell
# Mass density   3.7 g cm⁻³
# Polymorph energy (0 for the lowest one)   34 meV per atom
data_GaHSe
_chemical_formula_sum 'Ga2 H2 Se2'
_cell_length_a 3.803
_cell_length_b 5.418
_cell_length_c 6.730
_cell_angle_alpha 87.59
_cell_angle_beta 73.63
_cell_angle_gamma 89.99
_symmetry_space_group_name_H-M 'P -1'
_symmetry_Int_Tables_number 2
loop_
_symmetry_equiv_pos_as_xyz
'x,y,z'
'-x,-y,-z'
loop_
_atom_site_label
_atom_site_type_symbol
_atom_site_fract_x
_atom_site_fract_y
_atom_site_fract_z
_atom_site_occupancy
Ga1 Ga 0.151 0.053 0.199 1
H1 H 0.061 0.233 0.380 1
Se1 Se 0.332 0.236 0.835 1